one:
The following is a GGA-PBE calculation of an optimized crystal structure of NaTi2Sn2, from the Alexandria database.

Output
Fermi-level density of states = 5.7 states/eV/f.u.

The structure in POSCAR format:
```
NaTi2Sn2
1.0
-2.1688 2.1688 6.4994
2.1688 -2.1688 6.4994
2.1688 2.1688 -6.4994
Na Ti Sn
1 2 2
Cartesian
0.0000 0.0000 0.0000
2.1688 0.0000 3.2497
0.0000 2.1688 3.2497
0.0000 0.0000 5.0516
0.0000 0.0000 7.9473
```

***

two:
The following is a GGA-PBE calculation of an optimized crystal structure of NaTi2Sn2, from the Alexandria database.

Output
Fermi-level density of states = 1.4 states/eV/f.u.

The structure in POSCAR format:
```
NaTi2Sn2
1.0
8.4508 0.0000 0.0000
0.0000 8.4508 0.0000
0.0000 0.0000 3.0506
Na Ti Sn
2 4 4
Cartesian
0.0000 0.0000 0.0000
4.2254 4.2254 0.0000
0.9804 3.2450 0.0000
3.2450 7.4704 0.0000
5.2057 0.9804 0.0000
7.4704 5.2057 0.0000
1.4919 5.7173 1.5253
2.7335 1.4919 1.5253
5.7173 6.9589 1.5253
6.9589 2.7335 1.5253
```

***

Relative stability in eV/atom, measured from the most stable structure: one 0.206; two 0.000

***

one:
The following is a GGA-PBE calculation of an optimized crystal structure of Na7Tl12Sn, from the Alexandria database.

Output
Fermi-level density of states = 8.8 states/eV/f.u.

The structure in POSCAR format:
```
Na7Tl12Sn
1.0
6.1881 0.0000 0.0000
0.1901 9.1774 0.0000
0.5449 3.4724 10.5000
Na Tl Sn
7 12 1
Cartesian
0.0000 0.0000 0.0000
1.6979 2.5166 4.7390
2.2511 5.0058 7.4246
2.1834 6.2369 0.8802
4.7398 6.4129 9.6198
4.6720 7.6440 3.0754
5.2252 10.1332 5.7610
1.2488 5.7383 3.9790
1.6115 7.8102 8.9970
1.6216 8.9943 2.9165
1.7280 2.8033 1.3910
2.2588 10.9125 7.9493
2.6585 8.1398 5.9123
4.2646 4.5100 4.5876
4.6643 1.7373 2.5507
5.1951 9.8465 9.1090
5.3015 3.6556 7.5835
5.3116 4.8396 1.5030
5.6743 6.9115 6.5210
3.0940 0.0000 0.0000
```

***

two:
The following is a GGA-PBE calculation of an optimized crystal structure of Na7Tl12Sn, from the Alexandria database.

Output
Fermi-level density of states = 10.9 states/eV/f.u.

The structure in POSCAR format:
```
Na7Tl12Sn
1.0
6.1700 3.5622 4.6776
-6.1700 3.5622 4.6776
0.0000 -7.1245 4.6776
Na Tl Sn
7 12 1
Cartesian
0.0000 0.0000 0.0000
-2.0692 -0.4178 4.2910
1.3965 -1.5831 4.2910
0.6727 2.0009 4.2910
-0.6727 -2.0009 9.7419
-1.3965 1.5831 9.7419
2.0692 0.4178 9.7419
-5.3730 0.7200 5.8361
-3.3101 -4.2931 8.1968
-3.1538 -0.9070 7.5293
-0.7914 -3.1847 6.5036
2.0629 -5.0131 5.8361
-2.3624 2.2777 6.5036
2.3624 -2.2777 7.5293
-2.0629 5.0131 8.1968
0.7914 3.1847 7.5293
3.1538 0.9070 6.5036
3.3100 4.2931 5.8361
5.3730 -0.7200 8.1968
0.0000 0.0000 7.0165
```

***

Relative stability in eV/atom, measured from the most stable structure: one 0.000; two 0.019

***

one:
The following is a GGA-PBE calculation of an optimized crystal structure of Na2TlSn2, from the Alexandria database.

Output
Fermi-level density of states = 2.6 states/eV/f.u.

The structure in POSCAR format:
```
Na2TlSn2
1.0
-2.3386 2.3386 7.0727
2.3386 -2.3386 7.0727
2.3386 2.3386 -7.0727
Na Tl Sn
2 1 2
Cartesian
2.3386 0.0000 3.5364
0.0000 2.3386 3.5364
0.0000 0.0000 0.0000
0.0000 0.0000 5.7049
0.0000 0.0000 8.4405
```

***

two:
The following is a GGA-PBE calculation of an optimized crystal structure of Na2TlSn2, from the Alexandria database.

Output
Fermi-level density of states = 1.8 states/eV/f.u.

The structure in POSCAR format:
```
Na2TlSn2
1.0
9.2029 0.0000 0.0000
0.0000 9.2029 0.0000
0.0000 0.0000 3.3831
Na Tl Sn
4 2 4
Cartesian
1.7139 2.8875 0.0000
2.8875 7.4890 0.0000
6.3154 1.7139 0.0000
7.4890 6.3154 0.0000
0.0000 0.0000 1.6915
4.6015 4.6015 1.6915
1.0254 5.6269 1.6915
3.5760 1.0254 1.6915
5.6269 8.1775 1.6915
8.1775 3.5760 1.6915
```

***

three:
The following is a GGA-PBE calculation of an optimized crystal structure of Na2TlSn2, from the Alexandria database.

Output
Fermi-level density of states = 2.0 states/eV/f.u.

The structure in POSCAR format:
```
Na2TlSn2
1.0
9.2203 0.0000 0.0000
0.0000 9.2203 0.0000
0.0000 0.0000 3.3924
Na Tl Sn
4 2 4
Cartesian
1.6748 2.9354 0.0000
2.9354 7.5456 0.0000
6.2849 1.6748 0.0000
7.5456 6.2849 0.0000
0.0000 0.0000 0.0000
4.6102 4.6102 0.0000
1.0632 5.6734 1.6962
3.5469 1.0632 1.6962
5.6734 8.1571 1.6962
8.1571 3.5469 1.6962
```

***

Relative stability in eV/atom, measured from the most stable structure: one 0.120; two 0.000; three 0.033

***

one:
The following is a GGA-PBE calculation of an optimized crystal structure of Na2TlSn2, from the Alexandria database.

Output
Fermi-level density of states = 2.4 states/eV/f.u.

The structure in POSCAR format:
```
Na2TlSn2
1.0
5.6427 -3.0981 0.0000
5.6427 3.0981 0.0000
-4.1786 0.0000 7.9774
Na Tl Sn
4 2 4
Cartesian
1.5724 0.8447 1.1931
-0.5169 -0.8447 5.1818
7.6238 0.8447 2.7955
5.5345 -0.8447 6.7842
4.5981 2.0754 1.9943
2.5088 -2.0754 5.9830
2.2324 0.8641 4.4497
2.7852 0.8641 7.5164
4.3217 -0.8641 0.4610
4.8745 -0.8641 3.5277
```

***

two:
The following is a GGA-PBE calculation of an optimized crystal structure of Na2TlSn2, from the Alexandria database.

Output
Fermi-level density of states = 1.5 states/eV/f.u.

The structure in POSCAR format:
```
Na2TlSn2
1.0
4.6718 -2.6906 0.0000
4.6718 2.6906 0.0000
-3.1264 0.0000 5.6104
Na Tl Sn
2 1 2
Cartesian
-0.0046 0.0000 1.6876
6.2219 0.0000 3.9228
3.1086 0.0000 2.8052
-0.0106 0.0000 5.1626
6.2279 0.0000 0.4478
```

***

Relative stability in eV/atom, measured from the most stable structure: one 0.007; two 0.000

***

one:
The following is a GGA-PBE calculation of an optimized crystal structure of Na3Tl2Sn2, from the Alexandria database.

Output
Fermi-level density of states = 3.3 states/eV/f.u.

The structure in POSCAR format:
```
Na3Tl2Sn2
1.0
4.8614 -2.6074 0.0000
4.8614 2.6074 0.0000
-2.5349 0.0000 7.6385
Na Tl Sn
3 2 2
Cartesian
0.0000 0.0000 0.0000
0.2551 0.0000 3.2925
6.9327 0.0000 4.3460
0.6603 0.0000 6.5350
6.5275 0.0000 1.1035
3.3598 0.0000 2.1475
3.8280 0.0000 5.4910
```

***

two:
The following is a GGA-PBE calculation of an optimized crystal structure of Na3Tl2Sn2, from the Alexandria database.

Output
Fermi-level density of states = 2.6 states/eV/f.u.

The structure in POSCAR format:
```
Na3Tl2Sn2
1.0
-1.6745 2.6484 11.0459
1.6745 -2.6484 11.0459
1.6745 2.6484 -11.0459
Na Tl Sn
3 2 2
Cartesian
0.0000 0.0000 0.0000
1.6745 0.0000 6.5810
0.0000 2.6484 4.4650
1.6745 0.0000 3.2649
0.0000 2.6484 7.7810
0.0000 0.0000 9.5173
0.0000 0.0000 12.5745
```

***

Relative stability in eV/atom, measured from the most stable structure: one 0.000; two 0.006

***

one:
The following is a GGA-PBE calculation of an optimized crystal structure of Na4TlSn2, from the Alexandria database.

Output
Fermi-level density of states = 3.5 states/eV/f.u.

The structure in POSCAR format:
```
Na4TlSn2
1.0
-2.9271 2.9271 7.6446
2.9271 -2.9271 7.6446
2.9271 2.9271 -7.6446
Na Tl Sn
4 1 2
Cartesian
2.9271 0.0000 0.0000
0.0000 0.0000 3.1085
0.0000 2.9271 0.0000
0.0000 0.0000 12.1807
0.0000 0.0000 0.0000
0.0000 0.0000 6.2188
0.0000 0.0000 9.0704
```

***

two:
The following is a GGA-PBE calculation of an optimized crystal structure of Na4TlSn2, from the Alexandria database.

Output
Fermi-level density of states = 2.5 states/eV/f.u.

The structure in POSCAR format:
```
Na4TlSn2
1.0
8.2666 0.0000 0.0000
0.0000 6.1141 0.0000
-3.8865 0.0000 8.3401
Na Tl Sn
8 2 4
Cartesian
-1.3708 1.5285 3.4927
0.3192 4.5855 2.3218
0.4876 0.0236 6.5156
0.4876 3.0334 6.5156
3.8925 3.0806 1.8245
3.8925 6.0905 1.8245
4.0609 1.5285 6.0183
5.7509 4.5855 4.8474
1.1872 1.5285 0.5917
3.1930 4.5855 7.7484
-1.9622 4.5855 7.8925
1.7387 1.5285 3.8091
2.6415 4.5855 4.5309
6.3423 1.5285 0.4476
```

***

Relative stability in eV/atom, measured from the most stable structure: one 0.158; two 0.000